Entry 1:
# GGA-PBEsol CsAgMo3, relaxed
# Symmetry = Pm-3m
# Total DFT energy (no corrections) = -25.94 eV/cell
# E_form = 13.6 eV/f.u.
data_CsAgMo3
_chemical_formula_sum 'Cs1 Ag1 Mo3'
_cell_length_a 5.010
_cell_length_b 5.010
_cell_length_c 5.010
_cell_angle_alpha 90.00
_cell_angle_beta 90.00
_cell_angle_gamma 90.00
_space_group_name_H-M_alt 'P 1'
_space_group_IT_number 1
loop_
_space_group_symop_operation_xyz
'x,y,z'
loop_
_atom_site_label
_atom_site_type_symbol
_atom_site_fract_x
_atom_site_fract_y
_atom_site_fract_z
Cs1 Cs 0.000 0.000 0.000
Ag1 Ag 0.500 0.500 0.500
Mo1 Mo 0.000 0.500 0.500
Mo2 Mo 0.500 0.000 0.500
Mo3 Mo 0.500 0.500 0.000

***

Entry 2:
# GGA-PBEsol CsTa2AgMo, relaxed
# Symmetry = P4/mmm
# Total DFT energy (no corrections) = -28.91 eV/cell
# E_form = 12.2 eV/f.u.
data_CsTa2AgMo
_chemical_formula_sum 'Cs1 Ta2 Ag1 Mo1'
_cell_length_a 5.030
_cell_length_b 5.030
_cell_length_c 5.227
_cell_angle_alpha 90.00
_cell_angle_beta 90.00
_cell_angle_gamma 90.00
_space_group_name_H-M_alt 'P 1'
_space_group_IT_number 1
loop_
_space_group_symop_operation_xyz
'x,y,z'
loop_
_atom_site_label
_atom_site_type_symbol
_atom_site_fract_x
_atom_site_fract_y
_atom_site_fract_z
Cs1 Cs 0.000 0.000 0.000
Ta1 Ta 0.000 0.500 0.500
Ta2 Ta 0.500 0.000 0.500
Ag1 Ag 0.500 0.500 0.500
Mo1 Mo 0.500 0.500 0.000

***

Entry 3:
# GGA-PBEsol Cs2AgN2, relaxed
# Symmetry = P4/mbm
# Total DFT energy (no corrections) = -44.75 eV/cell
# ΔE_f (raw) = -0.025 eV/atom
data_Cs2AgN2
_chemical_formula_sum 'Cs4 Ag2 N4'
_cell_length_a 8.644
_cell_length_b 8.644
_cell_length_c 3.831
_cell_angle_alpha 90.00
_cell_angle_beta 90.00
_cell_angle_gamma 90.00
_space_group_name_H-M_alt 'P 1'
_space_group_IT_number 1
loop_
_space_group_symop_operation_xyz
'x,y,z'
loop_
_atom_site_label
_atom_site_type_symbol
_atom_site_fract_x
_atom_site_fract_y
_atom_site_fract_z
Cs1 Cs 0.231 0.269 0.000
Cs2 Cs 0.269 0.769 0.000
Cs3 Cs 0.731 0.231 0.000
Cs4 Cs 0.769 0.731 0.000
Ag1 Ag 0.000 0.000 0.500
Ag2 Ag 0.500 0.500 0.500
N1 N 0.048 0.548 0.500
N2 N 0.452 0.048 0.500
N3 N 0.548 0.952 0.500
N4 N 0.952 0.452 0.500

***

Entry 4:
# GGA-PBEsol CsAgSeN2, relaxed
# Symmetry = P4/mmm
# Total DFT energy (no corrections) = -13.58 eV/cell
# ΔE_f (raw) = 2.316 eV/atom
data_CsAgSeN2
_chemical_formula_sum 'Cs1 Ag1 Se1 N2'
_cell_length_a 4.257
_cell_length_b 4.257
_cell_length_c 6.784
_cell_angle_alpha 90.00
_cell_angle_beta 90.00
_cell_angle_gamma 90.00
_space_group_name_H-M_alt 'P 1'
_space_group_IT_number 1
loop_
_space_group_symop_operation_xyz
'x,y,z'
loop_
_atom_site_label
_atom_site_type_symbol
_atom_site_fract_x
_atom_site_fract_y
_atom_site_fract_z
Cs1 Cs 0.000 0.000 0.000
Ag1 Ag 0.500 0.500 0.500
Se1 Se 0.000 0.000 0.500
N1 N 0.000 0.500 0.000
N2 N 0.500 0.000 0.000

***

Entry 5:
# GGA-PBEsol CsAgSnN2, relaxed
# Symmetry = P4/mmm
# Total DFT energy (no corrections) = -14.62 eV/cell
# ΔE_f (raw) = 2.189 eV/atom
data_CsAgSnN2
_chemical_formula_sum 'Cs1 Ag1 Sn1 N2'
_cell_length_a 4.459
_cell_length_b 4.459
_cell_length_c 5.674
_cell_angle_alpha 90.00
_cell_angle_beta 90.00
_cell_angle_gamma 90.00
_space_group_name_H-M_alt 'P 1'
_space_group_IT_number 1
loop_
_space_group_symop_operation_xyz
'x,y,z'
loop_
_atom_site_label
_atom_site_type_symbol
_atom_site_fract_x
_atom_site_fract_y
_atom_site_fract_z
Cs1 Cs 0.000 0.000 0.000
Ag1 Ag 0.000 0.000 0.500
Sn1 Sn 0.500 0.500 0.500
N1 N 0.000 0.500 0.000
N2 N 0.500 0.000 0.000

***

Entry 6:
# GGA-PBEsol CsAgTe2N, relaxed
# Symmetry = P4/mmm
# Total DFT energy (no corrections) = -16.69 eV/cell
# ΔE_f (raw) = 0.628 eV/atom
data_CsAgTe2N
_chemical_formula_sum 'Cs1 Ag1 Te2 N1'
_cell_length_a 6.071
_cell_length_b 6.071
_cell_length_c 3.883
_cell_angle_alpha 90.00
_cell_angle_beta 90.00
_cell_angle_gamma 90.00
_space_group_name_H-M_alt 'P 1'
_space_group_IT_number 1
loop_
_space_group_symop_operation_xyz
'x,y,z'
loop_
_atom_site_label
_atom_site_type_symbol
_atom_site_fract_x
_atom_site_fract_y
_atom_site_fract_z
Cs1 Cs 0.000 0.000 0.000
Ag1 Ag 0.500 0.500 0.500
Te1 Te 0.000 0.500 0.500
Te2 Te 0.500 0.000 0.500
N1 N 0.500 0.500 0.000

***

Entry 7:
# GGA-PBEsol CsNaAg3, relaxed
# Symmetry = Pm-3m
# Total DFT energy (no corrections) = -6.59 eV/cell
# E_form = 5.7 eV/f.u.
data_CsNaAg3
_chemical_formula_sum 'Cs1 Na1 Ag3'
_cell_length_a 6.153
_cell_length_b 6.153
_cell_length_c 6.153
_cell_angle_alpha 90.00
_cell_angle_beta 90.00
_cell_angle_gamma 90.00
_space_group_name_H-M_alt 'P 1'
_space_group_IT_number 1
loop_
_space_group_symop_operation_xyz
'x,y,z'
loop_
_atom_site_label
_atom_site_type_symbol
_atom_site_fract_x
_atom_site_fract_y
_atom_site_fract_z
Cs1 Cs 0.000 0.000 0.000
Na1 Na 0.500 0.500 0.500
Ag1 Ag 0.000 0.000 0.500
Ag2 Ag 0.000 0.500 0.000
Ag3 Ag 0.500 0.000 0.000

***

Entry 8:
# GGA-PBEsol CsNa3Ag, relaxed
# Polymorph energy (0 for the lowest one) = 0.0 meV/atom
# Symmetry = Pm-3m
# Total DFT energy (no corrections) = -8.00 eV/cell
# E_form = 0.5 eV/f.u.
data_CsNa3Ag
_chemical_formula_sum 'Cs1 Na3 Ag1'
_cell_length_a 5.910
_cell_length_b 5.910
_cell_length_c 5.910
_cell_angle_alpha 90.00
_cell_angle_beta 90.00
_cell_angle_gamma 90.00
_space_group_name_H-M_alt 'P 1'
_space_group_IT_number 1
loop_
_space_group_symop_operation_xyz
'x,y,z'
loop_
_atom_site_label
_atom_site_type_symbol
_atom_site_fract_x
_atom_site_fract_y
_atom_site_fract_z
Cs1 Cs 0.000 0.000 0.000
Na1 Na 0.000 0.500 0.500
Na2 Na 0.500 0.000 0.500
Na3 Na 0.500 0.500 0.000
Ag1 Ag 0.500 0.500 0.500